# 1
Ca2MnGaTc: optimized geometry, PBE.

The density of states at the Fermi level comes out at 6.1 states/eV/f.u. The formation energy is 0.63 eV per atom.

Cell lengths 5.7336, 5.7336, 4.2683 Å; angles 90.00, 90.00, 90.00 degrees
Sites, in units of the cell vectors:
Ca: 0.0000 0.5000 0.0000
Ca: 0.5000 0.0000 0.0000
Mn: 0.0000 0.0000 0.0000
Ga: 0.5000 0.5000 0.5000
Tc: 0.0000 0.0000 0.5000



# 2
CaMnZn2Ga: optimized geometry, PBE.

The density of states at the Fermi level comes out at 3.2 states/eV/f.u. The formation energy is 0.23 eV per atom.

Cell lengths 4.7779, 4.7779, 4.8147 Å; angles 90.00, 90.00, 90.00 degrees
Sites, in units of the cell vectors:
Ca: 0.0000 0.0000 0.0000
Mn: 0.5000 0.5000 0.0000
Zn: 0.0000 0.5000 0.5000
Zn: 0.5000 0.0000 0.5000
Ga: 0.5000 0.5000 0.5000



# 3
CaGa3Mo: optimized geometry, PBE.

The density of states at the Fermi level comes out at 20.7 states/eV/f.u. The energy above the most stable polymorph in this dataset is 1862 meV/atom. The formation energy is 1.75 eV per atom.

Cell lengths 5.0864, 5.0864, 5.0864 Å; angles 90.00, 90.00, 90.00 degrees
Sites, in units of the cell vectors:
Ca: 0.0000 0.0000 0.0000
Ga: 0.0000 0.0000 0.5000
Ga: 0.0000 0.5000 0.0000
Ga: 0.5000 0.0000 0.0000
Mo: 0.5000 0.5000 0.5000



# 4
Ca2GaMo: optimized geometry, PBE.

The density of states at the Fermi level comes out at 5.2 states/eV/f.u. The formation energy is 0.69 eV per atom.

Cell lengths 6.4288, 6.4288, 6.4288 Å; angles 101.60, 101.60, 126.71 degrees
Sites, in units of the cell vectors:
Ca: 0.1153 0.6250 0.9903
Ca: 0.3750 0.3653 0.4903
Ca: 0.6347 0.1250 0.0097
Ca: 0.8750 0.8847 0.5097
Ga: 0.0000 0.0000 0.0000
Ga: 0.7500 0.2500 0.5000
Mo: 0.2500 0.7500 0.5000
Mo: 0.5000 0.5000 0.0000



# 5
CaGa2Mo: optimized geometry, PBE.

The density of states at the Fermi level comes out at 2.9 states/eV/f.u. The energy above the most stable polymorph in this dataset is 0 meV/atom. The formation energy is 0.10 eV per atom.

Cell lengths 4.7393, 4.7393, 4.7393 Å; angles 60.00, 60.00, 60.00 degrees
Sites, in units of the cell vectors:
Ca: 0.0000 0.0000 0.0000
Ga: 0.2500 0.2500 0.2500
Ga: 0.7500 0.7500 0.7500
Mo: 0.5000 0.5000 0.5000



# 6
Ca3GaMo: optimized geometry, PBE.

The density of states at the Fermi level comes out at 2.7 states/eV/f.u. The energy above the most stable polymorph in this dataset is 0 meV/atom. The formation energy is 0.76 eV per atom.

Cell lengths 5.6790, 5.6790, 5.6790 Å; angles 90.00, 90.00, 90.00 degrees
Sites, in units of the cell vectors:
Ca: 0.0000 0.0000 0.5000
Ca: 0.0000 0.5000 0.0000
Ca: 0.5000 0.0000 0.0000
Ga: 0.0000 0.0000 0.0000
Mo: 0.5000 0.5000 0.5000



# 7
CaGa2Mo2: optimized geometry, PBE.

The density of states at the Fermi level comes out at 1.0 states/eV/f.u. The energy above the most stable polymorph in this dataset is 84 meV/atom. The formation energy is 0.10 eV per atom.

Cell lengths 5.4801, 5.4801, 5.4801 Å; angles 127.41, 127.41, 77.58 degrees
Sites, in units of the cell vectors:
Ca: 0.0000 0.0000 0.0000
Ga: 0.2500 0.7500 0.5000
Ga: 0.7500 0.2500 0.5000
Mo: 0.3649 0.3649 0.0000
Mo: 0.6351 0.6351 0.0000



# 8
CaGa3Mo: optimized geometry, PBE.

The density of states at the Fermi level comes out at 3.0 states/eV/f.u. The energy above the most stable polymorph in this dataset is 0 meV/atom. The formation energy is -0.12 eV per atom.

Cell lengths 4.8982, 4.8982, 4.8982 Å; angles 90.00, 90.00, 90.00 degrees
Sites, in units of the cell vectors:
Ca: 0.0000 0.0000 0.0000
Ga: 0.0000 0.5000 0.5000
Ga: 0.5000 0.0000 0.5000
Ga: 0.5000 0.5000 0.0000
Mo: 0.5000 0.5000 0.5000



# 9
CaGa2Mo2: optimized geometry, PBE.

The density of states at the Fermi level comes out at 2.9 states/eV/f.u. The energy above the most stable polymorph in this dataset is 0 meV/atom. The formation energy is 0.01 eV per atom.

Cell lengths 8.0485, 8.0485, 2.7856 Å; angles 90.00, 90.00, 90.00 degrees
Sites, in units of the cell vectors:
Ca: 0.0000 0.0000 0.0000
Ca: 0.5000 0.5000 0.0000
Ga: 0.1813 0.3187 0.5000
Ga: 0.3187 0.8187 0.5000
Ga: 0.6813 0.1813 0.5000
Ga: 0.8187 0.6813 0.5000
Mo: 0.1115 0.6115 0.0000
Mo: 0.3885 0.1115 0.0000
Mo: 0.6115 0.8885 0.0000
Mo: 0.8885 0.3885 0.0000



# 10
CaGa2Mo: optimized geometry, PBE.

The density of states at the Fermi level comes out at 2.0 states/eV/f.u. The energy above the most stable polymorph in this dataset is 294 meV/atom. The formation energy is 0.40 eV per atom.

Cell lengths 9.5214, 9.5214, 9.5214 Å; angles 151.60, 151.60, 40.60 degrees
Sites, in units of the cell vectors:
Ca: 0.0000 0.0000 0.0000
Ca: 0.7500 0.2500 0.5000
Ga: 0.2638 0.6250 0.1388
Ga: 0.3750 0.5138 0.6388
Ga: 0.4862 0.1250 0.8612
Ga: 0.8750 0.7362 0.3612
Mo: 0.2500 0.7500 0.5000
Mo: 0.5000 0.5000 0.0000



# 11
Ca3GaMo: optimized geometry, PBE.

The density of states at the Fermi level comes out at 3.7 states/eV/f.u. The energy above the most stable polymorph in this dataset is 54 meV/atom. The formation energy is 0.81 eV per atom.

Cell lengths 5.4989, 5.4989, 5.4989 Å; angles 90.00, 90.00, 90.00 degrees
Sites, in units of the cell vectors:
Ca: 0.0000 0.0000 0.5000
Ca: 0.0000 0.5000 0.0000
Ca: 0.5000 0.0000 0.0000
Ga: 0.5000 0.5000 0.5000
Mo: 0.0000 0.0000 0.0000



# 12
CaGa2Mo2: optimized geometry, PBE.

The density of states at the Fermi level comes out at 4.1 states/eV/f.u. The energy above the most stable polymorph in this dataset is 128 meV/atom. The formation energy is 0.14 eV per atom.

Cell lengths 7.2454, 7.2454, 3.3577 Å; angles 90.00, 90.00, 90.00 degrees
Sites, in units of the cell vectors:
Ca: 0.0000 0.0000 0.0000
Ca: 0.5000 0.5000 0.0000
Ga: 0.1262 0.3738 0.0000
Ga: 0.3738 0.8738 0.0000
Ga: 0.6262 0.1262 0.0000
Ga: 0.8738 0.6262 0.0000
Mo: 0.1665 0.6665 0.5000
Mo: 0.3335 0.1665 0.5000
Mo: 0.6665 0.8335 0.5000
Mo: 0.8335 0.3335 0.5000



Repeat the first record exactly.
Ca2MnGaTc: optimized geometry, PBE.

The density of states at the Fermi level comes out at 6.1 states/eV/f.u. The formation energy is 0.63 eV per atom.

Cell lengths 5.7336, 5.7336, 4.2683 Å; angles 90.00, 90.00, 90.00 degrees
Sites, in units of the cell vectors:
Ca: 0.0000 0.5000 0.0000
Ca: 0.5000 0.0000 0.0000
Mn: 0.0000 0.0000 0.0000
Ga: 0.5000 0.5000 0.5000
Tc: 0.0000 0.0000 0.5000